Arrangement a

VASP calculation (PBE) on crystalline Tc4Se at its relaxed geometry.

```
Tc4Se
1.0
4.4942 0.0000 0.0000
0.0000 4.4942 0.0000
0.0000 0.0000 4.4942
Tc Se
4 1
direct
0.0000 0.0000 0.0000 Tc
0.0000 0.5000 0.5000 Tc
0.5000 0.0000 0.5000 Tc
0.5000 0.5000 0.0000 Tc
0.5000 0.5000 0.5000 Se
```

Symmetry: No. 221
Magnetic moment in μB per atom: 0.526
Density in Mg/m³: 8.62
DOS(E_F) in states/eV/atom: 1.0346

Arrangement b

VASP calculation (PBE) on crystalline Tc4Se at its relaxed geometry.

```
Tc4Se
1.0
-2.7919 2.7919 2.7919
2.7919 -2.7919 2.7919
2.7919 2.7919 -2.7919
Tc Se
4 1
direct
0.0000 0.0000 0.5000 Tc
0.0000 0.5000 0.0000 Tc
0.5000 0.0000 0.0000 Tc
0.5000 0.5000 0.5000 Tc
0.0000 0.0000 0.0000 Se
```

Symmetry: No. 229
Magnetic moment in μB per atom: 0.001
Density in Mg/m³: 8.98
DOS(E_F) in states/eV/atom: 1.6590

What should be chosen as the most stable of them? Choose arrangement b.

Arrangement a

VASP calculation (PBE) on crystalline Tc3Se5 at its relaxed geometry.

```
Tc3Se5
1.0
6.7813 0.0000 0.0000
3.3767 6.8978 0.0000
3.3826 -0.0005 6.8963
Tc Se
6 10
direct
0.0851 0.2691 0.0600 Tc
0.2802 0.0002 0.4994 Tc
0.3556 0.5595 0.2312 Tc
0.6444 0.4405 0.7688 Tc
0.7198 0.9998 0.5006 Tc
0.9149 0.7309 0.9400 Tc
0.1119 0.7058 0.5675 Se
0.1812 0.9328 0.2056 Se
0.2487 0.5006 0.0015 Se
0.2854 0.2315 0.7000 Se
0.4841 0.7995 0.7313 Se
0.5159 0.2005 0.2687 Se
0.7146 0.7685 0.3000 Se
0.7513 0.4994 0.9985 Se
0.8188 0.0672 0.7944 Se
0.8881 0.2942 0.4325 Se
```

Symmetry: No. 2
Magnetic moment in μB per atom: 0.000
Density in Mg/m³: 7.09
DOS(E_F) in states/eV/atom: 0.5249

Arrangement b

VASP calculation (PBE) on crystalline Tc3Se5 at its relaxed geometry.

```
Tc3Se5
1.0
7.8117 0.0000 0.0000
-3.9058 6.7651 0.0000
0.0000 0.0000 5.4335
Tc Se
6 10
direct
0.0000 0.4088 0.2500 Tc
0.0000 0.5912 0.7500 Tc
0.4088 0.0000 0.2500 Tc
0.4088 0.4088 0.7500 Tc
0.5912 0.0000 0.7500 Tc
0.5912 0.5912 0.2500 Tc
0.0000 0.2723 0.7500 Se
0.0000 0.7277 0.2500 Se
0.2723 0.0000 0.7500 Se
0.2723 0.2723 0.2500 Se
0.3333 0.6667 0.0000 Se
0.3333 0.6667 0.5000 Se
0.6667 0.3333 0.0000 Se
0.6667 0.3333 0.5000 Se
0.7277 0.0000 0.2500 Se
0.7277 0.7277 0.7500 Se
```

Symmetry: No. 193
Magnetic moment in μB per atom: 0.000
Density in Mg/m³: 7.97
DOS(E_F) in states/eV/atom: 1.1170

What should be chosen as the most stable of them? Choose arrangement a.

Arrangement a

VASP calculation (PBE) on crystalline TcTe3Se at its relaxed geometry.

```
TcTe3Se
1.0
5.1883 0.0000 0.0000
0.0000 5.1883 0.0000
0.0000 0.0000 5.1883
Tc Te Se
1 3 1
direct
0.0000 0.0000 0.0000 Tc
0.0000 0.0000 0.5000 Te
0.0000 0.5000 0.0000 Te
0.5000 0.0000 0.0000 Te
0.5000 0.5000 0.5000 Se
```

Symmetry: No. 221
Magnetic moment in μB per atom: 0.000
Density in Mg/m³: 6.66
DOS(E_F) in states/eV/atom: 1.5108

Arrangement b

VASP calculation (PBE) on crystalline TcTe3Se at its relaxed geometry.

```
TcTe3Se
1.0
5.4177 0.0000 0.0000
0.0000 5.4177 0.0000
0.0000 0.0000 5.4177
Tc Te Se
1 3 1
direct
0.0000 0.0000 0.0000 Tc
0.0000 0.5000 0.5000 Te
0.5000 0.0000 0.5000 Te
0.5000 0.5000 0.0000 Te
0.5000 0.5000 0.5000 Se
```

Symmetry: No. 221
Magnetic moment in μB per atom: 0.901
Density in Mg/m³: 5.85
DOS(E_F) in states/eV/atom: 0.6630

What should be chosen as the most stable of them? Choose arrangement a.